No. 1
Computed, not measured: crystalline RbHg3F7 at its relaxed geometry at the PBE level of DFT.

```
data_RbHg3F7
_cell_length_a 5.807
_cell_length_b 6.283
_cell_length_c 5.807
_cell_angle_alpha 105.66
_cell_angle_beta 94.98
_cell_angle_gamma 105.66
_symmetry_space_group_name_H-M 'P 1'
_symmetry_Int_Tables_number 1
loop_
_symmetry_equiv_pos_as_xyz
'x,y,z'
loop_
_atom_site_label
_atom_site_fract_x
_atom_site_fract_y
_atom_site_fract_z
Rb1 0.500 0.500 0.500
Hg1 0.232 0.000 0.768
Hg2 0.000 0.500 0.000
Hg3 0.768 0.000 0.232
F1 0.873 0.766 0.873
F2 0.940 0.750 0.367
F3 0.633 0.250 0.060
F4 0.367 0.750 0.940
F5 0.500 0.000 0.500
F6 0.060 0.250 0.633
F7 0.127 0.234 0.127
```

Results
SG: C2/m (12)
Energy relative to the elements, uncorrected: -160.5 kJ/mol of atoms

---

No. 2
Computed, not measured: crystalline Na2ZnBr4 at its relaxed geometry at the PBE level of DFT.

```
data_Na2ZnBr4
_cell_length_a 6.853
_cell_length_b 8.660
_cell_length_c 14.698
_cell_angle_alpha 90.00
_cell_angle_beta 90.00
_cell_angle_gamma 90.00
_symmetry_space_group_name_H-M 'P 1'
_symmetry_Int_Tables_number 1
loop_
_symmetry_equiv_pos_as_xyz
'x,y,z'
loop_
_atom_site_label
_atom_site_fract_x
_atom_site_fract_y
_atom_site_fract_z
Na1 0.000 0.000 0.000
Na2 0.500 0.000 0.500
Na3 0.000 0.500 0.000
Na4 0.500 0.500 0.500
Na5 0.008 0.750 0.270
Na6 0.508 0.250 0.230
Na7 0.992 0.250 0.730
Na8 0.492 0.750 0.770
Zn1 0.594 0.750 0.091
Zn2 0.094 0.250 0.409
Zn3 0.406 0.250 0.909
Zn4 0.906 0.750 0.591
Br1 0.242 0.750 0.092
Br2 0.742 0.250 0.408
Br3 0.758 0.250 0.908
Br4 0.258 0.750 0.592
Br5 0.763 0.750 0.437
Br6 0.263 0.250 0.063
Br7 0.237 0.250 0.563
Br8 0.737 0.750 0.937
Br9 0.744 0.974 0.166
Br10 0.244 0.026 0.334
Br11 0.256 0.474 0.834
Br12 0.756 0.526 0.666
Br13 0.256 0.026 0.834
Br14 0.756 0.974 0.666
Br15 0.744 0.526 0.166
Br16 0.244 0.474 0.334
```

Results
Distance to the lowest polymorph of the same formula: 0.00 eV/f.u.
D(E_F): 0.000 states/eV/atom
SG: Pnma (62)
Energy relative to the elements, uncorrected: -124.0 kJ/mol of atoms

---

No. 3
Computed, not measured: crystalline ZnHF2 at its relaxed geometry at the PBE level of DFT.

```
data_ZnHF2
_cell_length_a 5.920
_cell_length_b 5.920
_cell_length_c 5.920
_cell_angle_alpha 29.67
_cell_angle_beta 29.67
_cell_angle_gamma 29.67
_symmetry_space_group_name_H-M 'P 1'
_symmetry_Int_Tables_number 1
loop_
_symmetry_equiv_pos_as_xyz
'x,y,z'
loop_
_atom_site_label
_atom_site_fract_x
_atom_site_fract_y
_atom_site_fract_z
H1 0.000 0.000 0.000
Zn1 0.500 0.500 0.500
F1 0.932 0.932 0.932
F2 0.068 0.068 0.068
```

Results
Distance to the lowest polymorph of the same formula: 0.00 eV/f.u.
D(E_F): 0.119 states/eV/atom
SG: R-3m (166)

---

No. 4
Computed, not measured: crystalline Er6TmIn4 at its relaxed geometry at the PBE level of DFT.

```
data_Er6TmIn4
_cell_length_a 7.952
_cell_length_b 7.952
_cell_length_c 7.952
_cell_angle_alpha 85.52
_cell_angle_beta 122.62
_cell_angle_gamma 122.62
_symmetry_space_group_name_H-M 'P 1'
_symmetry_Int_Tables_number 1
loop_
_symmetry_equiv_pos_as_xyz
'x,y,z'
loop_
_atom_site_label
_atom_site_fract_x
_atom_site_fract_y
_atom_site_fract_z
Er1 0.000 0.901 0.524
Er2 0.000 0.524 0.901
Er3 0.623 0.099 0.099
Er4 0.500 0.000 0.500
Er5 0.377 0.476 0.476
Er6 0.500 0.500 0.000
Tm1 0.000 0.000 0.000
In1 0.000 0.261 0.602
In2 0.659 0.398 0.398
In3 0.000 0.602 0.261
In4 0.341 0.739 0.739
```

Results
D(E_F): 1.209 states/eV/atom
SG: I-42m (121)
ΔH_f (0 K): -0.0681 eV per atom